VASP calculation (GGA-PBE) on a relaxed structure of CeSiNi11.

```
CeSiNi11
1.0
4.3266 -0.0555 1.8025
2.0536 5.8112 0.8556
-0.0613 -0.0277 6.2411
Ni Si Ce
11 1 1
direct
0.2843 0.2279 0.2229 Ni
0.4928 0.7721 0.2229 Ni
0.5072 0.2279 0.7771 Ni
0.7157 0.7721 0.7771 Ni
0.0114 0.3521 0.6471 Ni
0.9886 0.6479 0.3529 Ni
0.6585 0.3521 0.3529 Ni
0.5000 0.0000 0.5000 Ni
0.3415 0.6479 0.6471 Ni
0.0000 0.0000 0.5000 Ni
0.0000 0.5000 0.0000 Ni
0.5000 0.5000 0.0000 Si
0.0000 0.0000 0.0000 Ce
```

Its symmetry is No. 12. The value obtained for the spin magnetization is 1.58 μB per formula unit. The calculated total energy comes out at -78.49 eV per cell. The value obtained for the formation energy (no corrections) is -0.27 eV per atom.